# 1
Crystalline CaRh2F at its relaxed geometry. Source: the Alexandria database, functional GGA-PBE.

DFT total energy = -4.55 eV/atom
magnetic moment = 0.67 μB/f.u.

```
data_CaRh2F
_cell_length_a 6.386
_cell_length_b 6.386
_cell_length_c 6.386
_cell_angle_alpha 90.00
_cell_angle_beta 90.00
_cell_angle_gamma 90.00
_symmetry_space_group_name_H-M 'F m -3 m'
_symmetry_Int_Tables_number 225
_symmetry_space_group_name_Hall '-F 4 2 3'
loop_
_atom_site_label
_atom_site_fract_x
_atom_site_fract_y
_atom_site_fract_z
Ca1 0.000 0.000 0.000
Rh1 0.250 0.250 0.250
F1 0.000 0.000 0.500
```

***

# 2
Crystalline Ca2ScRhF at its relaxed geometry. Source: the Alexandria database, functional GGA-PBE.

DFT total energy = -4.18 eV/atom
magnetic moment = 0.02 μB/f.u.

```
data_Ca2ScRhF
_cell_length_a 5.956
_cell_length_b 5.956
_cell_length_c 3.875
_cell_angle_alpha 90.00
_cell_angle_beta 90.00
_cell_angle_gamma 90.00
_symmetry_space_group_name_H-M 'P 4/m m m'
_symmetry_Int_Tables_number 123
_symmetry_space_group_name_Hall '-P 4 2'
loop_
_atom_site_label
_atom_site_fract_x
_atom_site_fract_y
_atom_site_fract_z
Ca1 0.000 0.500 0.000
Sc1 0.000 0.000 0.000
Rh1 0.500 0.500 0.500
F1 0.000 0.000 0.500
```

***

# 3
Crystalline CaSiRh2F at its relaxed geometry. Source: the Alexandria database, functional GGA-PBE.

DFT total energy = -4.53 eV/atom
magnetic moment = 0.00 μB/f.u.

```
data_CaSiRh2F
_cell_length_a 4.976
_cell_length_b 4.976
_cell_length_c 3.956
_cell_angle_alpha 90.00
_cell_angle_beta 90.00
_cell_angle_gamma 90.00
_symmetry_space_group_name_H-M 'P 4/m m m'
_symmetry_Int_Tables_number 123
_symmetry_space_group_name_Hall '-P 4 2'
loop_
_atom_site_label
_atom_site_fract_x
_atom_site_fract_y
_atom_site_fract_z
Ca1 0.000 0.000 0.000
Si1 0.500 0.500 0.500
Rh1 0.000 0.500 0.000
F1 0.000 0.000 0.500
```

***

# 4
Crystalline SrCaRh2F at its relaxed geometry. Source: the Alexandria database, functional GGA-PBE.

DFT total energy = -4.23 eV/atom
magnetic moment = 0.71 μB/f.u.

```
data_SrCaRh2F
_cell_length_a 5.235
_cell_length_b 5.235
_cell_length_c 4.512
_cell_angle_alpha 90.00
_cell_angle_beta 90.00
_cell_angle_gamma 90.00
_symmetry_space_group_name_H-M 'P 4/m m m'
_symmetry_Int_Tables_number 123
_symmetry_space_group_name_Hall '-P 4 2'
loop_
_atom_site_label
_atom_site_fract_x
_atom_site_fract_y
_atom_site_fract_z
Sr1 0.000 0.000 0.000
Ca1 0.500 0.500 0.500
Rh1 0.000 0.500 0.000
F1 0.000 0.000 0.500
```

***

# 5
Crystalline CaTiRh2F at its relaxed geometry. Source: the Alexandria database, functional GGA-PBE.

DFT total energy = -5.39 eV/atom
magnetic moment = 0.00 μB/f.u.

```
data_CaTiRh2F
_cell_length_a 4.395
_cell_length_b 4.395
_cell_length_c 6.503
_cell_angle_alpha 90.00
_cell_angle_beta 90.00
_cell_angle_gamma 90.00
_symmetry_space_group_name_H-M 'P 4/m m m'
_symmetry_Int_Tables_number 123
_symmetry_space_group_name_Hall '-P 4 2'
loop_
_atom_site_label
_atom_site_fract_x
_atom_site_fract_y
_atom_site_fract_z
Ca1 0.000 0.000 0.000
Ti1 0.000 0.000 0.500
Rh1 0.000 0.500 0.500
F1 0.500 0.500 0.000
```

***

# 6
Crystalline CaTlRhF6 at its relaxed geometry. Source: the Alexandria database, functional GGA-PBE.

DFT total energy = -4.94 eV/atom
magnetic moment = 0.00 μB/f.u.

```
data_CaTlRhF6
_cell_length_a 7.572
_cell_length_b 7.856
_cell_length_c 11.295
_cell_angle_alpha 90.00
_cell_angle_beta 90.00
_cell_angle_gamma 90.00
_symmetry_space_group_name_H-M 'I m m a'
_symmetry_Int_Tables_number 74
_symmetry_space_group_name_Hall '-I 2b 2'
loop_
_atom_site_label
_atom_site_fract_x
_atom_site_fract_y
_atom_site_fract_z
Ca1 0.000 0.000 0.000
Tl1 0.000 0.250 0.327
Rh1 0.250 0.250 0.750
F1 0.000 0.250 0.097
F2 0.000 0.250 0.689
F3 0.214 0.062 0.868
```

***

# 7
Crystalline CaTl2RhF at its relaxed geometry. Source: the Alexandria database, functional GGA-PBE.

DFT total energy = -3.58 eV/atom
magnetic moment = 0.00 μB/f.u.

```
data_CaTl2RhF
_cell_length_a 5.427
_cell_length_b 5.427
_cell_length_c 4.256
_cell_angle_alpha 90.00
_cell_angle_beta 90.00
_cell_angle_gamma 90.00
_symmetry_space_group_name_H-M 'P 4/m m m'
_symmetry_Int_Tables_number 123
_symmetry_space_group_name_Hall '-P 4 2'
loop_
_atom_site_label
_atom_site_fract_x
_atom_site_fract_y
_atom_site_fract_z
Ca1 0.000 0.000 0.000
Tl1 0.000 0.500 0.500
Rh1 0.500 0.500 0.500
F1 0.500 0.500 0.000
```

***

- Among the records above, which one has the highest DFT total energy?
  CaTl2RhF